Entry 1:
A plane-wave DFT calculation with PBE-GGA was carried out for a relaxed structure of Pr2Zn15Tc2.

Computed properties:
- Magnetic moment: 0.00 μB per formula unit
- Formation energy: -0.190 eV/atom
- VASP energy: -2.791 eV/atom
- DOS(E_F): 10.5 states/eV per cell
- Calculated volume: 313 Å³/cell

Cell: 6.8320 6.8320 6.8320 Å, 83.50 83.50 83.50°
Last column: nearest neighbours and their distance in Å.
Fractional positions:
Pr  0.1589  0.1589  0.1589  18 Zn 3.26-3.48, 1 Tc 3.28
Pr  0.8411  0.8411  0.8411  18 Zn 3.26-3.48, 1 Tc 3.28
Zn  0.0000  0.5000  0.5000  8 Zn 2.57-2.62, 2 Tc 2.81
Zn  0.1547  0.1547  0.6498  8 Zn 2.62-2.78, 1 Tc 2.85
Zn  0.1547  0.6498  0.1547  8 Zn 2.62-2.78, 1 Tc 2.85
Zn  0.2113  0.5000  0.7887  8 Zn 2.57-2.78
Zn  0.2113  0.7887  0.5000  8 Zn 2.57-2.78
Zn  0.3502  0.8453  0.8453  8 Zn 2.62-2.78, 1 Tc 2.85
Zn  0.5000  0.0000  0.5000  8 Zn 2.57-2.62, 2 Tc 2.81
Zn  0.5000  0.2113  0.7887  8 Zn 2.57-2.78
Zn  0.5000  0.5000  0.0000  8 Zn 2.57-2.62, 2 Tc 2.81
Zn  0.5000  0.7887  0.2113  8 Zn 2.57-2.78
Zn  0.6498  0.1547  0.1547  8 Zn 2.62-2.78, 1 Tc 2.85
Zn  0.7887  0.2113  0.5000  8 Zn 2.57-2.78
Zn  0.7887  0.5000  0.2113  8 Zn 2.57-2.78
Zn  0.8453  0.3502  0.8453  8 Zn 2.62-2.78, 1 Tc 2.85
Zn  0.8453  0.8453  0.3502  8 Zn 2.62-2.78, 1 Tc 2.85
Tc  0.4091  0.4091  0.4091  1 Tc 2.38
Tc  0.5909  0.5909  0.5909  1 Tc 2.38



Entry 2:
A plane-wave DFT calculation with PBE-GGA was carried out for a relaxed structure of YScSn2.

Computed properties:
- Magnetic moment: 0.00 μB per formula unit
- Formation energy: -0.388 eV/atom
- Excess energy over the best structure of this formula in the dataset: 0.259 eV/atom
- VASP energy: -5.588 eV/atom
- DOS(E_F): 6.2 states/eV per cell
- Calculated volume: 217 Å³/cell

Cell: 6.6123 6.6123 6.6123 Å, 104.73 104.73 119.43°
Last column: nearest neighbours and their distance in Å.
Fractional positions:
Y  0.0000  0.0000  0.0000  4 Sn 3.06, 2 Sc 3.33
Y  0.7500  0.2500  0.5000  4 Sn 3.06, 2 Sc 3.33
Sc  0.2500  0.7500  0.5000  4 Sn 2.89
Sc  0.5000  0.5000  0.0000  4 Sn 2.89
Sn  0.1401  0.6250  0.0151  2 Sc 2.89, 2 Y 3.06
Sn  0.3750  0.3901  0.5151  2 Sc 2.89, 2 Y 3.06
Sn  0.6099  0.1250  0.9849  2 Sc 2.89, 2 Y 3.06
Sn  0.8750  0.8599  0.4849  2 Sc 2.89, 2 Y 3.06



Entry 3:
A plane-wave DFT calculation with PBE-GGA was carried out for a relaxed structure of Ba2HfReSb.

Computed properties:
- Energy relative to the elements, uncorrected: 1.446 eV per atom
- Magnetic moment: 3.78 μB per formula unit
- VASP energy: -4.627 eV/atom
- DOS(E_F): 7.7 states/eV per cell
- Calculated volume: 213 Å³/cell

Cell: 6.2882 6.2882 5.3917 Å, 90.00 90.00 90.00°
Last column: nearest neighbours and their distance in Å.
Fractional positions:
Ba  0.0000  0.5000  0.0000  2 Hf 3.14
Ba  0.5000  0.0000  0.0000  2 Hf 3.14
Hf  0.0000  0.0000  0.0000  2 Sb 2.70
Re  0.5000  0.5000  0.5000  8 Ba 4.14, 4 Sb 4.45
Sb  0.0000  0.0000  0.5000  2 Hf 2.70